VASP calculation (GGA-PBE) on a relaxed AlFe2Ir crystal.

Output
Density of states at the Fermi level   3.84 states/eV/cell
Calculated formation energy   0.00 eV/f.u.
Symmetry   Cmmm (65)

```
AlFe2Ir
1.0
-0.612 -0.424 2.531
1.866 -1.595 -0.968
5.949 5.524 2.364
Fe Ir Al
2 1 1
Direct
0.000 0.000 0.994 Fe
0.000 0.000 0.506 Fe
0.500 0.500 0.250 Ir
0.500 0.500 0.750 Al
```